# 1
Entry from Alexandria via LeMat-Bulk: Na3BP2 after structural relaxation (PBE).

```
24
Lattice="3.378 0.000 0.000 0.000 12.674 0.000 0.000 0.000 10.807" Properties=species:S:1:pos:R:3 pbc="T T T"
Na 0.845 4.909 0.830
Na 2.534 7.765 9.978
Na 2.534 11.245 4.574
Na 0.845 1.428 6.233
Na 0.845 9.101 1.785
Na 2.534 3.572 9.022
Na 2.534 2.764 3.619
Na 0.845 9.909 7.189
Na 0.845 5.667 4.162
Na 2.534 7.007 6.645
Na 2.534 12.004 1.242
Na 0.845 0.670 9.565
B 0.845 1.636 1.677
B 2.534 11.038 9.130
B 2.534 7.973 3.726
B 0.845 4.701 7.081
P 0.845 8.574 4.617
P 2.534 4.100 6.190
P 2.534 2.237 0.787
P 0.845 10.437 10.021
P 0.845 0.522 3.245
P 2.534 12.152 7.562
P 2.534 6.859 2.158
P 0.845 5.815 8.649
```

Results
* E above lowest polymorph: 0.79 eV/f.u.
* formation energy from the elements: -1.2 eV/f.u.

# 2
Entry from Alexandria via LeMat-Bulk: NaBP3 after structural relaxation (PBE).

```
5
Lattice="-3.776 2.648 1.401 -1.849 -3.834 2.263 2.358 1.236 4.019" Properties=species:S:1:pos:R:3 pbc="T T T"
P -0.924 -1.917 1.132
P 1.179 0.618 2.009
P -1.888 1.324 0.700
B -1.634 0.025 3.842
Na 0.000 0.000 0.000
```

Results
* E above lowest polymorph: 8.06 eV/f.u.
* formation energy from the elements: 11.5 eV/f.u.

# 3
Entry from Alexandria via LeMat-Bulk: Na3BP2 after structural relaxation (PBE).

```
12
Lattice="6.566 0.000 0.000 0.000 8.154 0.000 -3.283 -4.077 5.484" Properties=species:S:1:pos:R:3 pbc="T T T"
Na 3.283 2.039 0.000
Na 3.283 6.116 0.000
Na 3.283 -2.039 3.350
Na 0.000 2.039 2.134
Na 0.000 6.116 2.134
Na 3.283 2.039 3.350
B 0.000 4.077 0.000
B 0.000 0.000 0.000
P 1.799 0.000 4.466
P 5.082 0.000 1.018
P -1.799 4.077 4.466
P 1.484 4.077 1.018
```

Results
* E above lowest polymorph: 0.67 eV/f.u.
* formation energy from the elements: -1.3 eV/f.u.

# 4
Entry from Alexandria via LeMat-Bulk: NaB3P after structural relaxation (PBE).

```
5
Lattice="-1.624 -3.591 1.944 -0.921 -1.716 -3.940 3.978 -1.863 -0.119" Properties=species:S:1:pos:R:3 pbc="T T T"
P 0.717 -3.585 -1.057
B -0.461 -0.858 -1.970
B 1.989 -0.932 -0.059
B -0.812 -1.796 0.972
Na 0.000 0.000 0.000
```

Results
* E above lowest polymorph: 8.18 eV/f.u.
* formation energy from the elements: 15.0 eV/f.u.

# 5
Entry from Alexandria via LeMat-Bulk: Na3BP after structural relaxation (PBE).

```
5
Lattice="5.356 0.000 0.000 0.000 5.356 0.000 0.000 0.000 5.356" Properties=species:S:1:pos:R:3 pbc="T T T"
P 0.000 0.000 0.000
B 2.678 2.678 2.678
Na 0.000 2.678 0.000
Na 0.000 0.000 2.678
Na 2.678 0.000 0.000
```

Results
* E above lowest polymorph: 0.00 eV/f.u.
* formation energy from the elements: 4.4 eV/f.u.

# 6
Entry from Alexandria via LeMat-Bulk: NaB3P after structural relaxation (PBE).

```
5
Lattice="-3.694 -1.400 -0.350 0.370 0.010 -3.948 1.394 -3.710 0.121" Properties=species:S:1:pos:R:3 pbc="T T T"
P 0.000 0.000 0.000
B 0.185 0.005 -1.974
B 0.697 -1.855 0.061
B -1.847 -0.700 -0.175
Na -0.965 -2.550 -2.088
```

Results
* E above lowest polymorph: 0.00 eV/f.u.
* formation energy from the elements: 6.9 eV/f.u.

# 7
Entry from Alexandria via LeMat-Bulk: NaBP3 after structural relaxation (PBE).

```
5
Lattice="-0.050 -3.783 -1.999 0.302 -1.997 3.772 -4.267 -0.097 0.290" Properties=species:S:1:pos:R:3 pbc="T T T"
P 0.151 -0.998 1.886
P -2.134 -0.048 0.145
P -0.025 -1.891 -0.999
B 0.000 0.000 0.000
Na -2.008 -2.938 1.032
```

Results
* E above lowest polymorph: 0.00 eV/f.u.
* formation energy from the elements: 3.5 eV/f.u.

# 8
Entry from Alexandria via LeMat-Bulk: Na3BP2 after structural relaxation (PBE).

```
24
Lattice="9.316 0.000 0.000 0.000 6.977 -0.002 0.000 3.254 8.540" Properties=species:S:1:pos:R:3 pbc="T T T"
Na 2.653 5.725 1.560
Na 0.632 1.762 0.203
Na 4.026 3.389 4.473
Na 5.290 6.841 4.066
Na 9.078 6.706 3.326
Na 4.420 1.897 0.943
Na 0.239 3.524 5.213
Na 4.897 8.333 7.596
Na 2.005 7.352 5.830
Na 6.663 4.506 6.979
Na 8.684 8.468 8.336
Na 7.311 2.879 2.708
B 1.594 2.613 2.713
B 6.252 5.990 1.555
B 3.064 4.240 6.983
B 7.722 7.617 5.825
P 4.106 5.618 6.558
P 8.764 6.240 6.251
P 5.210 4.613 1.981
P 0.552 3.991 2.288
P 2.572 8.154 3.113
P 7.231 0.450 1.155
P 6.744 2.077 5.425
P 2.086 9.781 7.383
```

Results
* E above lowest polymorph: 0.00 eV/f.u.
* formation energy from the elements: -2.0 eV/f.u.